Computed, not measured: CsYAg2Cl6 after structural relaxation at the PBE level of DFT.

Unit cell a=7.1967 b=7.1967 c=19.8204 alpha=90.00 beta=90.00 gamma=120.00
Space group R3 (No. 146, hexagonal axes)
Inequivalent atoms, fractional coordinates:
Cs  0.0000  0.0000  0.0000 (multiplicity 3)
Y  0.0000  0.0000  0.4631 (multiplicity 3)
Ag  0.0000  0.0000  0.2690 (multiplicity 3)
Ag  0.0000  0.0000  0.7924 (multiplicity 3)
Cl  0.0146  0.5525  0.0417 (multiplicity 9)
Cl  0.0164  0.3388  0.1981 (multiplicity 9)

Properties
The calculation puts the density of states at the Fermi level at 0.000 states/eV per atom. Its theoretical density is 3.6 g cm⁻³. As for the raw total energy: -0.2861 Ry per atom. Its volume is 29.6 A^3/atom. Its formation energy without anion corrections is -1483 meV/atom.